Material: AcCrTeO5
Method: DFT, GGA+U
State: relaxed

The space group is C2/c (No. 15) and the conventional cell measures 7.728, 8.884 and 7.909 Å, with angles of 90.00, 114.77 and 90.00 degrees. The distinct sites, in fractional coordinates, are Ac at (0.000, 0.059, 0.250), Cr at (0.250, 0.250, 0.000), Te at (0.000, 0.478, 0.250), O at (0.000, 0.216, 0.750), O at (0.065, 0.322, 0.113) and O at (0.211, 0.035, 0.066).

The calculation puts the final energy at -221.16 eV per cell. The calculation puts the calculated volume at 15.41 Å³ per atom. The value obtained for the theoretical density is 6.555 g cm⁻³.